1.
{"formula": "SrIr4Se8", "functional": "GGA-PBE", "state": "optimized geometry", "dos_at_fermi_per_ev_cell": 11.8, "magnetic_moment_mub_per_atom": 0.000, "mass_density_g_cm3": 7.40, "spacegroup": "R-3m, No. 166", "formation_energy_uncorrected_ev_per_atom": -0.484, "cell": [[7.192, 0.000, 2.420], [3.189, 6.446, 2.420], [1.364, 0.847, 7.843]], "species": ["Se", "Ir", "Ir", "Ir", "Se", "Sr", "Se", "Se", "Se", "Se", "Se", "Se", "Ir"], "frac_coords": [[0.227, 0.733, 0.814], [0.500, 0.000, 0.000], [0.000, 0.000, 0.000], [0.500, 0.500, 0.000], [0.773, 0.773, 0.186], [0.500, 0.500, 0.500], [0.729, 0.729, 0.814], [0.773, 0.267, 0.186], [0.733, 0.227, 0.814], [0.227, 0.227, 0.814], [0.271, 0.271, 0.186], [0.267, 0.773, 0.186], [0.000, 0.500, 0.000]]}

2.
{"formula": "SrIrSe", "functional": "GGA-PBE", "state": "optimized geometry", "dos_at_fermi_per_ev_cell": 4.4, "magnetic_moment_mub_per_atom": 0.000, "mass_density_g_cm3": 8.19, "spacegroup": "F-43m, No. 216", "formation_energy_uncorrected_ev_per_atom": -0.136, "polymorph_energy_mev_per_atom": 567, "cell": [[4.686, 0.000, 0.000], [2.343, 4.058, 0.000], [2.343, 1.353, 3.826]], "species": ["Sr", "Ir", "Se"], "frac_coords": [[0.500, 0.500, 0.500], [0.750, 0.750, 0.750], [0.000, 0.000, 0.000]]}

3.
{"formula": "SrIrSe", "functional": "GGA-PBE", "state": "optimized geometry", "dos_at_fermi_per_ev_cell": 2.8, "magnetic_moment_mub_per_atom": 0.117, "mass_density_g_cm3": 7.21, "spacegroup": "F-43m, No. 216", "formation_energy_uncorrected_ev_per_atom": 0.506, "polymorph_energy_mev_per_atom": 1208, "cell": [[-3.043, -3.319, 1.904], [1.788, -3.835, 2.448], [-0.577, -0.291, 4.845]], "species": ["Sr", "Ir", "Se"], "frac_coords": [[0.750, 0.750, 0.750], [0.000, 0.000, 0.000], [0.500, 0.500, 0.500]]}

4.
{"formula": "SrIrSe2", "functional": "GGA-PBE", "state": "optimized geometry", "dos_at_fermi_per_ev_cell": 5.6, "magnetic_moment_mub_per_atom": 0.090, "mass_density_g_cm3": 8.31, "spacegroup": "F-43m, No. 216", "formation_energy_uncorrected_ev_per_atom": 0.217, "polymorph_energy_mev_per_atom": 1017, "cell": [[-1.235, -4.811, -0.398], [2.101, -3.369, 3.011], [-2.706, -2.181, 3.571]], "species": ["Se", "Sr", "Ir", "Se"], "frac_coords": [[0.250, 0.250, 0.250], [0.750, 0.750, 0.750], [0.500, 0.500, 0.500], [0.000, 0.000, 0.000]]}

5.
{"formula": "SrTe2IrSe", "functional": "GGA-PBE", "state": "optimized geometry", "dos_at_fermi_per_ev_cell": 21.1, "magnetic_moment_mub_per_atom": 0.639, "mass_density_g_cm3": 4.90, "spacegroup": "P4/mmm, No. 123", "formation_energy_uncorrected_ev_per_atom": 1.322, "cell": [[-0.081, -1.798, 5.840], [3.136, -4.420, -1.317], [5.053, 3.265, 1.076]], "species": ["Te", "Sr", "Te", "Ir", "Se"], "frac_coords": [[0.500, 0.000, 0.000], [0.000, 0.000, 0.000], [0.000, 0.000, 0.500], [0.500, 0.500, 0.500], [0.000, 0.500, 0.000]]}

6.
{"formula": "Sr2TlIrSe", "functional": "GGA-PBE", "state": "optimized geometry", "dos_at_fermi_per_ev_cell": 4.2, "magnetic_moment_mub_per_atom": 0.000, "mass_density_g_cm3": 6.72, "spacegroup": "P4/mmm, No. 123", "formation_energy_uncorrected_ev_per_atom": -0.330, "cell": [[-4.837, -3.340, -0.450], [0.811, -0.565, -4.518], [3.208, -4.804, 1.177]], "species": ["Ir", "Se", "Sr", "Sr", "Tl"], "frac_coords": [[0.000, 0.500, 0.000], [0.000, 0.000, 0.000], [0.000, 0.000, 0.500], [0.500, 0.000, 0.000], [0.500, 0.500, 0.500]]}

> Number 1 is which compound?

SrIr4Se8